# CdTcBr

CdTcBr after structural relaxation (PBE, Alexandria).

a b c (Å): 3.0422 5.5066 15.9001
angles (deg): 90.00 90.00 90.00
Space group Fmm2 (No. 42)
Asymmetric unit:
1 Cd 0.0000 0.0000 0.0000
2 Tc 0.0000 0.0000 0.3497
3 Br 0.0000 0.0000 0.7261

* energy above the lowest structure with this stoichiometry: 0.162 eV/atom
* formation energy (no corrections): 575 meV/atom
* uncorrected energy: -0.2751 Ry/atom
* density of states at the Fermi level: 1.0914 states/eV per atom